Below is an optimized crystal structure of LaPbSe2N, with properties calculated at the PBE level.

Properties
formation energy from raw total energies: -0.141 eV per atom
raw total energy: -4.93 eV/atom
SG: No. 123
N(E_F): 4.786 states/eV per cell
total magnetic moment: 1.19 μB per cell
crystal system: tetragonal

POSCAR file:
```
LaPbSe2N
1.0
-5.122 0.075 -2.858
1.222 -5.245 -2.327
-1.893 -1.924 3.342
Se N La Pb
2 1 1 1
direct
0.500 0.000 0.000 Se
0.000 0.500 0.000 Se
0.000 0.000 0.500 N
0.000 0.000 0.000 La
0.500 0.500 0.500 Pb
```


Below is an optimized crystal structure of TlCuGe, with properties calculated at the PBE level.

Properties
raw total energy: -3.55 eV/atom
SG: No. 1
N(E_F): 2.101 states/eV per cell
total magnetic moment: 0.00 μB per cell
ΔH_f (0 K): 0.141 eV/atom
crystal system: triclinic

POSCAR file:
```
TlCuGe
1.0
3.542 0.017 -0.009
-1.788 9.794 0.022
1.783 0.333 3.881
Tl Cu Ge
2 2 2
direct
0.501 0.238 0.026 Tl
0.052 0.955 0.644 Tl
0.867 0.640 0.712 Cu
0.105 0.538 0.138 Cu
0.624 0.732 0.288 Ge
0.352 0.454 0.563 Ge
```


Below is an optimized crystal structure of PrNd4Th3As8, with properties calculated at the PBE level.

Properties
raw total energy: -6.70 eV/atom
SG: No. 166
N(E_F): 6.121 states/eV per cell
total magnetic moment: 0.00 μB per cell
ΔH_f (0 K): -1.492 eV/atom
crystal system: trigonal

POSCAR file:
```
PrNd4Th3As8
1.0
8.546 0.000 0.000
0.000 8.534 -0.014
-4.273 -4.269 6.046
As Th Nd Pr
8 3 4 1
direct
0.749 0.747 0.498 As
0.254 0.252 0.003 As
0.251 0.253 0.502 As
0.251 0.748 0.501 As
0.749 0.252 0.499 As
0.251 0.748 0.997 As
0.749 0.252 0.003 As
0.746 0.748 0.997 As
0.500 0.500 0.500 Th
0.000 0.500 0.500 Th
0.500 0.500 0.000 Th
0.500 0.000 0.500 Nd
0.500 0.000 0.000 Nd
0.000 0.000 0.000 Nd
0.000 0.000 0.500 Nd
0.000 0.500 0.000 Pr
```